[1]
! PBE Tl2SiAg2, relaxed; values from VASP
&SYSTEM
  ibrav = 0, nat = 5, ntyp = 3
/
ATOMIC_SPECIES
Tl 204.38 Tl.upf
Si 28.09 Si.upf
Ag 107.87 Ag.upf
CELL_PARAMETERS angstrom
-1.907 1.907 8.250
1.907 -1.907 8.250
1.907 1.907 -8.250
ATOMIC_POSITIONS crystal
Tl 0.099 0.099 0.000
Tl 0.901 0.901 0.000
Si 0.500 0.500 0.000
Ag 0.250 0.750 0.500
Ag 0.750 0.250 0.500
! Fermi-level density of states	0.533	states/eV per atom
! energy relative to the lowest polymorph listed for this composition	128	meV/atom
! energy relative to the elements, uncorrected	417	meV per atom

=====

[2]
! PBE TlSiAg3, relaxed; values from VASP
&SYSTEM
  ibrav = 0, nat = 5, ntyp = 3
/
ATOMIC_SPECIES
Tl 204.38 Tl.upf
Si 28.09 Si.upf
Ag 107.87 Ag.upf
CELL_PARAMETERS angstrom
4.915 0.000 0.000
0.000 4.915 0.000
0.000 0.000 4.915
ATOMIC_POSITIONS crystal
Tl 0.000 0.000 0.000
Si 0.500 0.500 0.500
Ag 0.000 0.500 0.500
Ag 0.500 0.000 0.500
Ag 0.500 0.500 0.000
! Fermi-level density of states	0.182	states/eV per atom
! energy relative to the lowest polymorph listed for this composition	0	meV/atom
! energy relative to the elements, uncorrected	228	meV per atom

=====

[3]
! PBE TlSiAg2, relaxed; values from VASP
&SYSTEM
  ibrav = 0, nat = 4, ntyp = 3
/
ATOMIC_SPECIES
Tl 204.38 Tl.upf
Si 28.09 Si.upf
Ag 107.87 Ag.upf
CELL_PARAMETERS angstrom
4.343 0.000 0.000
0.000 4.343 0.000
0.000 0.000 4.219
ATOMIC_POSITIONS crystal
Tl 0.000 0.000 0.000
Si 0.500 0.500 0.000
Ag 0.000 0.500 0.500
Ag 0.500 0.000 0.500
! Fermi-level density of states	0.258	states/eV per atom
! energy relative to the elements, uncorrected	364	meV per atom

=====

[4]
! PBE Tl3SiAg, relaxed; values from VASP
&SYSTEM
  ibrav = 0, nat = 5, ntyp = 3
/
ATOMIC_SPECIES
Tl 204.38 Tl.upf
Si 28.09 Si.upf
Ag 107.87 Ag.upf
CELL_PARAMETERS angstrom
5.442 0.000 0.000
0.000 5.442 0.000
0.000 0.000 5.442
ATOMIC_POSITIONS crystal
Tl 0.000 0.000 0.500
Tl 0.000 0.500 0.000
Tl 0.500 0.000 0.000
Si 0.500 0.500 0.500
Ag 0.000 0.000 0.000
! Fermi-level density of states	0.722	states/eV per atom
! energy relative to the lowest polymorph listed for this composition	159	meV/atom
! energy relative to the elements, uncorrected	673	meV per atom

=====

[5]
! PBE TlSi2Ag2, relaxed; values from VASP
&SYSTEM
  ibrav = 0, nat = 5, ntyp = 3
/
ATOMIC_SPECIES
Tl 204.38 Tl.upf
Si 28.09 Si.upf
Ag 107.87 Ag.upf
CELL_PARAMETERS angstrom
-2.162 2.162 5.423
2.162 -2.162 5.423
2.162 2.162 -5.423
ATOMIC_POSITIONS crystal
Tl 0.000 0.000 0.000
Si 0.389 0.389 0.000
Si 0.611 0.611 0.000
Ag 0.250 0.750 0.500
Ag 0.750 0.250 0.500
! Fermi-level density of states	0.545	states/eV per atom
! energy relative to the lowest polymorph listed for this composition	0	meV/atom
! energy relative to the elements, uncorrected	278	meV per atom

=====

[6]
! PBE TlSiAg2, relaxed; values from VASP
&SYSTEM
  ibrav = 0, nat = 4, ntyp = 3
/
ATOMIC_SPECIES
Tl 204.38 Tl.upf
Si 28.09 Si.upf
Ag 107.87 Ag.upf
CELL_PARAMETERS angstrom
-1.526 2.167 6.566
1.526 -2.167 6.566
1.526 2.167 -6.566
ATOMIC_POSITIONS crystal
Tl 0.000 0.000 0.000
Si 0.790 0.290 0.500
Ag 0.294 0.794 0.500
Ag 0.625 0.625 0.000
! Fermi-level density of states	0.317	states/eV per atom
! energy relative to the elements, uncorrected	256	meV per atom

=====

[7]
! PBE Tl2Si2Ag, relaxed; values from VASP
&SYSTEM
  ibrav = 0, nat = 10, ntyp = 3
/
ATOMIC_SPECIES
Tl 204.38 Tl.upf
Si 28.09 Si.upf
Ag 107.87 Ag.upf
CELL_PARAMETERS angstrom
6.555 0.000 0.000
0.000 6.555 0.000
0.000 0.000 5.333
ATOMIC_POSITIONS crystal
Tl 0.182 0.318 0.000
Tl 0.318 0.818 0.000
Tl 0.682 0.182 0.000
Tl 0.818 0.682 0.000
Si 0.129 0.629 0.500
Si 0.371 0.129 0.500
Si 0.629 0.871 0.500
Si 0.871 0.371 0.500
Ag 0.000 0.000 0.500
Ag 0.500 0.500 0.500
! Fermi-level density of states	0.370	states/eV per atom
! energy relative to the lowest polymorph listed for this composition	21	meV/atom
! energy relative to the elements, uncorrected	314	meV per atom

=====

[8]
! PBE Tl2SiAg2, relaxed; values from VASP
&SYSTEM
  ibrav = 0, nat = 10, ntyp = 3
/
ATOMIC_SPECIES
Tl 204.38 Tl.upf
Si 28.09 Si.upf
Ag 107.87 Ag.upf
CELL_PARAMETERS angstrom
6.863 0.000 0.000
0.000 6.863 0.000
0.000 0.000 5.035
ATOMIC_POSITIONS crystal
Tl 0.168 0.332 0.000
Tl 0.332 0.832 0.000
Tl 0.668 0.168 0.000
Tl 0.832 0.668 0.000
Si 0.000 0.000 0.500
Si 0.500 0.500 0.500
Ag 0.156 0.656 0.500
Ag 0.344 0.156 0.500
Ag 0.656 0.844 0.500
Ag 0.844 0.344 0.500
! Fermi-level density of states	0.411	states/eV per atom
! energy relative to the lowest polymorph listed for this composition	0	meV/atom
! energy relative to the elements, uncorrected	289	meV per atom

=====

> Among the records above, which one has the highest Fermi-level density of states?

Tl3SiAg